LiNbVCr2: relaxed, GGA-PBE.

Energy of formation from the pure elements ... 1.634 eV per atom
V ... 19.12 Å³ per atom
Symmetry ... P4/mmm
Uncorrected energy ... -32.18 eV/f.u.

Lattice parameters (Å, degrees): 4.529 4.662 4.529 90.00 90.00 90.00
Atoms (fractional coordinates):
Nb1 0.000 0.000 0.000
Li1 0.500 0.500 0.500
Cr1 0.500 0.000 0.000
Cr2 0.000 0.000 0.500
V1 0.000 0.500 0.000

Sr2Au2O: relaxed, GGA-PBE.

V ... 25.72 Å³ per atom
Symmetry ... P4/mbm
Uncorrected energy ... -19.67 eV/f.u.
Formation energy from raw total energies ... -0.96 eV per atom
Relative energy among the computed polymorphs ... 0 meV/atom

Lattice parameters (Å, degrees): 7.227 7.227 4.925 90.00 90.00 90.00
Atoms (fractional coordinates):
Sr1 0.311 0.811 0.000
Sr2 0.189 0.311 0.000
Sr3 0.811 0.689 0.000
Sr4 0.689 0.189 0.000
Au1 0.133 0.633 0.500
Au2 0.367 0.133 0.500
Au3 0.633 0.867 0.500
Au4 0.867 0.367 0.500
O1 0.500 0.500 0.000
O2 0.000 0.000 0.000

Sc2Zn2Ni: relaxed, GGA-PBE.

Energy of formation from the pure elements ... -0.238 eV per atom
V ... 17.61 Å³ per atom
Symmetry ... P4/mbm
Uncorrected energy ... -22.18 eV/f.u.

Lattice parameters (Å, degrees): 6.534 6.534 4.124 90.00 90.00 90.00
Atoms (fractional coordinates):
Ni1 0.000 0.000 0.000
Ni2 0.500 0.500 0.000
Zn1 0.866 0.634 0.000
Zn2 0.134 0.366 0.000
Zn3 0.366 0.866 0.000
Zn4 0.634 0.134 0.000
Sc1 0.826 0.326 0.500
Sc2 0.174 0.674 0.500
Sc3 0.326 0.174 0.500
Sc4 0.674 0.826 0.500

InTc2Se: relaxed, GGA-PBE.

V ... 18.57 Å³ per atom
Symmetry ... I-42d
Uncorrected energy ... -24.51 eV/f.u.
Formation energy from raw total energies ... 0.61 eV per atom
Relative energy among the computed polymorphs ... 540 meV/atom

Lattice parameters (Å, degrees): 7.261 7.261 5.857 51.69 51.69 90.00
Site moments in Bohr magnetons follow the coordinates.
Atoms (fractional coordinates):
Tc1 0.192 0.625 0.250  0.34
Tc2 0.375 0.442 0.750  0.34
Tc3 0.558 0.125 0.250  0.34
Tc4 0.875 0.808 0.750  0.34
Se1 0.250 0.750 0.500  0.00
Se2 0.500 0.500 0.000  0.00
In1 0.000 0.000 0.000  -0.01
In2 0.750 0.250 0.500  -0.01

SiAsI3: relaxed, GGA-PBE.

V ... 35.47 Å³ per atom
Symmetry ... Pm-3m
Uncorrected energy ... -12.02 eV/f.u.
Formation energy from raw total energies ... 0.54 eV per atom
Relative energy among the computed polymorphs ... 0 meV/atom

Lattice parameters (Å, degrees): 5.618 5.618 5.618 90.00 90.00 90.00
Site moments in Bohr magnetons follow the coordinates.
Atoms (fractional coordinates):
As1 0.500 0.500 0.500  1.00
I1 0.500 0.000 0.000  0.00
I2 0.000 0.000 0.500  0.00
I3 0.000 0.500 0.000  0.00
Si1 0.000 0.000 0.000  0.00